InMoOs2 (GGA-PBE, optimized geometry); final energy = -34.43 eV for the cell shown
1.0
2.862 0.000 0.000
0.000 4.059 0.000
0.000 0.000 5.557
In Mo Os
1 1 2
Direct
0.000 0.000 0.000
0.498 0.500 0.287
0.001 0.000 0.500
0.501 0.500 0.747


YBRu (GGA-PBE, optimized geometry); energy above the lowest structure with this stoichiometry = 13.8 meV per atom
1.0
4.025 0.000 0.000
-1.284 5.211 0.000
-1.885 -1.912 4.786
Y B Ru
2 2 2
Direct
0.014 0.304 0.203
0.986 0.696 0.797
0.272 0.886 0.393
0.728 0.114 0.607
0.307 0.232 0.733
0.693 0.768 0.267


Theoretical density, record by record: 15.21, 6.64 Mg/m³